Entry 1:
## In2OsSe (GGA-PBEsol)

Data for a geometry-optimized In2OsSe structure.

Properties
Fermi-level density of states = 0.978 states/eV per cell
Final energy = -5.00 eV per atom

```
4
Lattice="3.4805 0.0000 0.0000 -1.7402 4.8114 -0.1287 0.0000 -1.8951 4.5113" Properties=species:S:1:pos:R:3 pbc="T T T"
Se 1.7402 0.0000 0.0000
Os 0.0000 -0.9475 2.2556
In 1.7402 0.9687 3.2680
In 0.0000 1.9476 1.1145
```

=====

Entry 2:
## Ba2CaV2CuF14 (GGA-PBEsol)

Data for a geometry-optimized Ba2CaV2CuF14 structure.

Properties
Fermi-level density of states = 35.674 states/eV per cell
Final energy = -6.03 eV per atom

```
40
Lattice="-0.7536 0.4740 -5.2812 4.4368 -5.7555 1.5660 -12.1254 -8.3870 0.9773" Properties=species:S:1:pos:R:3 pbc="T T T"
F -6.5599 -12.3724 -2.4588
F -3.9312 -8.3798 -1.4615
F 0.3782 -5.8505 -1.7274
F -5.3659 -10.2445 0.9944
F 0.4064 -3.3709 -2.5693
F -6.2228 -9.6845 -1.6025
F -7.4009 -5.5504 -1.7667
F -1.4467 -1.2886 -3.0160
F -2.2194 -3.9839 -1.1354
F -1.8822 -1.2960 -0.2791
F -4.5110 -5.2886 -1.2764
F -8.8486 -10.2975 -0.1686
F -8.8204 -7.8179 -1.0105
F -5.6813 -4.6836 -3.9779
F 2.4840 -4.4080 0.5202
F -1.0413 -8.1180 -0.9712
F -3.0763 -3.4239 -3.7323
F -2.6452 -6.1925 0.3285
F 2.8432 -4.5029 -2.4624
F -5.7970 -7.4759 -3.0664
F 0.2898 -5.7740 1.0615
F -11.2854 -9.1655 -0.2756
F -8.5788 -5.0907 -4.2328
F -10.9262 -9.2604 -3.2581
F -6.9955 -12.3798 0.2781
F 0.1366 -8.5777 1.4949
F -8.7320 -7.8944 -3.7994
F -2.7609 -8.9848 1.2400
Ca -3.3520 -1.8950 -2.0027
Ca -9.5270 -6.0179 -2.3012
Ba 0.0564 -3.1095 0.1286
Ba -2.3205 -6.4380 -2.5466
Ba -8.4986 -10.5589 -2.8665
Ba -6.1217 -7.2304 -0.1913
V -9.6247 -8.7137 0.4837
V -3.5322 -4.5390 0.2041
V 1.1826 -4.9547 -3.2216
V -4.9100 -9.1294 -2.9420
Cu -0.3768 0.2370 -2.6406
Cu -6.4395 -3.9565 -2.1519
```

=====

Entry 3:
## Nb2Zn2Br (GGA-PBEsol)

Data for a geometry-optimized Nb2Zn2Br structure.

Properties
Fermi-level density of states = 4.357 states/eV per cell
Final energy = -4.88 eV per atom

```
5
Lattice="3.5785 0.0000 0.0000 0.0000 3.5785 0.0000 -1.7892 -1.7892 6.8176" Properties=species:S:1:pos:R:3 pbc="T T T"
Br 0.0000 0.0000 0.0000
Zn 0.0000 1.7892 3.4088
Zn 1.7892 0.0000 3.4088
Nb 1.7892 1.7892 1.3040
Nb 0.0000 0.0000 5.5135
```

=====

Number 1: total magnetic moment 0.00 μB/f.u., formation energy (no corrections) 512 meV/atom. Number 2: total magnetic moment 3.00 μB/f.u., formation energy (no corrections) -3175 meV/atom. Number 3: total magnetic moment 0.00 μB/f.u., formation energy (no corrections) 452 meV/atom.